Compound: CrFeCo2
Source: the Alexandria database
Functional: SCAN
Structure: PBEsol geometry

abc: 3.4646 3.4646 3.4500
angles: 90.00 90.00 90.00
Last column: nearest neighbours and their distance in Å.
Space group P4/mmm (No. 123)
Asymmetric unit:
Cr: 0.0000 0.0000 0.0000 [1 per cell]  8 Co 2.44, 4 Fe 2.45
Fe: 0.5000 0.5000 0.0000 [1 per cell]  8 Co 2.44, 4 Cr 2.45
Co: 0.0000 0.5000 0.5000 [2 per cell]  4 Cr 2.44, 4 Fe 2.44, 4 Co 2.45

Total magnetization   1.9 μB per cell
Calculated volume   10.4 Å³/atom
Energy relative to the elements   12 kJ/mol of formula units